Record 1
PrBeAs2, optimized geometry, DFT PBE-GGA; N(E_F) = 2.87 states/eV/f.u.; magnetic moment = 0.00 μB per cell; SG = R-3m; calculated formation energy = -0.23 eV per atom
1.0
-0.468 -2.259 -3.721
3.199 0.019 -2.990
3.984 -6.739 1.014
Pr Be As
1 1 2
direct
0.500 0.500 0.500
0.000 0.000 0.000
0.093 0.093 0.722
0.907 0.907 0.278


Record 2
PrBeAs2, optimized geometry, DFT PBE-GGA; N(E_F) = 0.64 states/eV/f.u.; magnetic moment = 0.00 μB per cell; SG = I4/mmm; calculated formation energy = -0.70 eV per atom
1.0
-3.470 0.758 -1.834
-0.650 -3.924 -0.395
-2.615 1.471 9.916
Pr Be As
2 2 4
direct
0.116 0.116 0.231
0.884 0.884 0.769
0.250 0.750 0.500
0.750 0.250 0.500
0.314 0.314 0.627
0.686 0.686 0.373
0.999 0.500 0.000
0.500 0.999 0.000